The following is a DFT calculation (PBE) of a relaxed structure of SrFeH3.

Properties
The space group is No. 221. The value obtained for the total energy is -21.38 eV for the cell shown.

a b c (Å): 3.666 3.666 3.666
angles (deg): 90.00 90.00 90.00
Fractional coordinates of all 5 atoms:
Sr  0.000  0.000  0.000
Fe  0.500  0.500  0.500
H  0.000  0.500  0.500
H  0.500  0.000  0.500
H  0.500  0.500  0.000